# 1
First-principles (PBE) data for a relaxed Si3PN crystal, as listed in Alexandria via LeMat-Bulk.

Structure (POSCAR):
```
Si3PN
1.0
4.458 0.000 0.000
0.000 4.458 0.000
0.000 0.000 4.458
Si P N
3 1 1
Cartesian
0.000 0.000 2.229
0.000 2.229 0.000
2.229 0.000 0.000
0.000 0.000 0.000
2.229 2.229 2.229
```

formation energy without anion corrections = 8.9 eV per formula unit
space-group type = No. 221

***

# 2
First-principles (PBE) data for a relaxed SiPN crystal, as listed in Alexandria via LeMat-Bulk.

Structure (POSCAR):
```
SiPN
1.0
2.653 0.000 0.000
0.000 4.342 0.000
0.000 0.000 7.594
Si P N
2 2 2
Cartesian
0.000 0.000 0.000
1.327 2.171 3.797
0.000 2.171 0.918
1.327 0.000 4.714
0.000 0.000 5.813
1.327 2.171 2.016
```

formation energy without anion corrections = 0.1 eV per formula unit
space-group type = No. 44

***

# 3
First-principles (PBE) data for a relaxed SiPN2 crystal, as listed in Alexandria via LeMat-Bulk.

Structure (POSCAR):
```
SiPN2
1.0
2.789 0.000 0.000
-1.395 2.482 0.000
-1.356 -0.836 7.327
Si P N
1 1 2
Cartesian
0.000 0.000 0.000
0.000 1.838 2.164
0.039 0.013 6.743
1.394 0.973 2.938
```

formation energy without anion corrections = -0.6 eV per formula unit
space-group type = No. 1

***

# 4
First-principles (PBE) data for a relaxed SiPN2 crystal, as listed in Alexandria via LeMat-Bulk.

Structure (POSCAR):
```
SiPN2
1.0
4.831 0.000 0.000
0.000 4.831 0.000
0.000 0.000 7.925
Si P N
4 4 8
Cartesian
0.000 0.000 0.000
0.000 2.415 1.981
2.415 0.000 5.944
2.415 2.415 3.962
0.000 0.000 3.962
0.000 2.415 5.944
2.415 0.000 1.981
2.415 2.415 0.000
0.767 1.208 0.991
1.208 3.182 2.972
1.208 4.064 6.934
1.648 1.208 4.953
3.182 3.623 4.953
3.623 0.767 6.934
3.623 1.648 2.972
4.064 3.623 0.991
```

formation energy without anion corrections = 0.9 eV per formula unit
space-group type = No. 122

***

# 5
First-principles (PBE) data for a relaxed SiPN crystal, as listed in Alexandria via LeMat-Bulk.

Structure (POSCAR):
```
SiPN
1.0
6.348 0.000 0.000
0.000 3.689 0.000
-1.983 0.000 4.094
Si P N
2 2 2
Cartesian
0.000 0.000 0.000
3.174 1.845 0.000
1.063 1.845 0.956
4.237 0.000 0.956
0.717 1.845 2.517
3.891 0.000 2.517
```

formation energy without anion corrections = -0.2 eV per formula unit
space-group type = No. 8

***

# 6
First-principles (PBE) data for a relaxed SiPN crystal, as listed in Alexandria via LeMat-Bulk.

Structure (POSCAR):
```
SiPN
1.0
2.687 0.000 0.000
0.000 2.791 0.000
0.000 0.000 11.115
Si P N
2 2 2
Cartesian
0.000 0.000 0.000
0.000 1.395 5.558
0.000 0.000 2.781
0.000 1.395 8.339
0.000 0.000 4.486
0.000 1.395 10.044
```

formation energy without anion corrections = 0.4 eV per formula unit
space-group type = No. 38

***

# 7
First-principles (PBE) data for a relaxed SiPN2 crystal, as listed in Alexandria via LeMat-Bulk.

Structure (POSCAR):
```
SiPN2
1.0
4.632 0.000 0.000
0.000 7.030 0.000
-0.792 0.000 3.506
Si P N
2 2 4
Cartesian
0.000 0.000 0.000
2.316 3.515 0.000
0.000 2.668 0.000
2.316 6.183 0.000
-0.043 1.386 1.150
1.567 4.901 2.357
2.273 4.901 1.150
3.883 1.386 2.357
```

formation energy without anion corrections = 1.4 eV per formula unit
space-group type = No. 5

***

# 8
First-principles (PBE) data for a relaxed SiPN2 crystal, as listed in Alexandria via LeMat-Bulk.

Structure (POSCAR):
```
SiPN2
1.0
2.676 0.000 0.000
-1.338 2.318 0.000
0.000 0.000 17.906
Si P N
3 3 6
Cartesian
0.000 0.000 0.000
0.000 1.545 11.937
1.338 0.773 5.969
0.000 0.000 8.953
0.000 1.545 2.984
1.338 0.773 14.922
0.000 0.000 2.031
0.000 0.000 15.875
0.000 1.545 9.906
0.000 1.545 13.968
1.338 0.773 3.938
1.338 0.773 8.000
```

formation energy without anion corrections = 0.0 eV per formula unit
space-group type = No. 166